# 1
Here is crystalline Na3MgZr at its relaxed geometry from Alexandria via LeMat-Bulk. Energies are from PBE.

extended XYZ file:
```
5
Lattice="5.573 0.000 0.000 0.000 5.573 0.000 0.000 0.000 5.573" Properties=species:S:1:pos:R:3 pbc="T T T"
Na 0.000 2.786 0.000
Na 0.000 0.000 2.786
Na 2.786 0.000 0.000
Mg 0.000 0.000 0.000
Zr 2.786 2.786 2.786
```

Summary:
**SG**: Pm-3m
**E_form**: 1.03 eV/atom
**VASP energy**: -1.79 eV per atom
**Volume**: 34.61 A^3/atom
**Total moment**: 2.99 μB per formula unit

=====

# 2
Here is crystalline PaTaFe2 at its relaxed geometry from Alexandria via LeMat-Bulk. Energies are from PBE.

extended XYZ file:
```
4
Lattice="-1.805 -1.032 -2.159 2.098 -1.982 -0.807 -2.707 -4.702 4.511" Properties=species:S:1:pos:R:3 pbc="T T T"
Pa -1.207 -3.858 0.773
Fe -0.565 -0.982 0.942
Fe -2.142 -3.720 3.569
Ta 0.147 -1.507 -1.483
```

Summary:
**SG**: P4/mmm
**E_form**: -0.13 eV/atom
**VASP energy**: -9.70 eV per atom
**Volume**: 15.84 A^3/atom
**Total moment**: 0.00 μB per formula unit

=====

# 3
Here is crystalline NaH2IrCl8 at its relaxed geometry from Alexandria via LeMat-Bulk. Energies are from PBE.

extended XYZ file:
```
12
Lattice="-5.594 -1.030 -3.172 -2.203 -5.221 3.318 -4.005 4.590 5.015" Properties=species:S:1:pos:R:3 pbc="T T T"
Cl -5.710 -0.861 -0.855
Cl -6.167 -4.611 0.099
Cl -7.951 1.933 2.065
Cl -3.851 -3.594 3.095
Cl -4.345 0.604 2.774
Cl -7.457 -2.264 2.386
Cl -5.635 2.950 5.061
Cl -6.092 -0.800 6.015
H -6.917 -3.093 1.521
H -4.885 1.432 3.639
Ir 0.000 0.000 0.000
Na -2.003 2.295 2.507
```

Summary:
**SG**: P-1
**VASP energy**: -3.27 eV per atom
**Volume**: 27.70 A^3/atom
**Total moment**: 2.03 μB per formula unit

=====

# 4
Here is crystalline TiCu4Pd2 at its relaxed geometry from Alexandria via LeMat-Bulk. Energies are from PBE.

extended XYZ file:
```
14
Lattice="-2.103 -3.832 1.682 4.615 -0.276 -0.752 0.442 5.189 8.799" Properties=species:S:1:pos:R:3 pbc="T T T"
Cu 1.467 -2.914 2.805
Cu 0.181 -0.768 2.518
Cu 1.556 -0.389 7.252
Cu 2.605 -0.689 2.783
Cu 1.445 1.393 2.495
Cu 1.504 3.924 6.741
Cu 2.790 1.864 7.407
Cu 0.335 1.792 6.942
Pd 4.173 1.882 3.461
Pd -0.941 -3.111 1.681
Pd 2.130 0.992 5.048
Pd 3.885 4.207 8.045
Ti 1.213 -1.984 0.449
Ti -0.246 -0.279 5.457
```

Summary:
**SG**: Fdd2
**E_form**: -0.13 eV/atom
**VASP energy**: -5.08 eV per atom
**Volume**: 13.88 A^3/atom
**Total moment**: 0.00 μB per formula unit

=====

# 5
Here is crystalline CdGeP2 at its relaxed geometry from Alexandria via LeMat-Bulk. Energies are from PBE.

extended XYZ file:
```
4
Lattice="-6.710 1.556 1.507 -6.769 -1.836 -0.723 -5.923 -2.029 3.243" Properties=species:S:1:pos:R:3 pbc="T T T"
Ge -9.824 -1.169 2.039
P -12.036 -1.432 2.499
P -2.470 -0.294 0.513
Cd -19.322 -2.300 4.011
```

Summary:
**SG**: R3m
**E_form**: 0.05 eV/atom
**VASP energy**: -4.04 eV per atom
**Volume**: 23.73 A^3/atom
**Total moment**: 0.00 μB per formula unit

=====

# 6
Here is crystalline GaPb2Cl6 at its relaxed geometry from Alexandria via LeMat-Bulk. Energies are from PBE.

extended XYZ file:
```
18
Lattice="6.620 0.000 0.000 0.000 6.620 0.000 0.000 0.000 12.637" Properties=species:S:1:pos:R:3 pbc="T T T"
Pb 3.310 3.310 8.404
Pb 3.310 3.310 4.233
Pb 0.000 0.000 10.551
Pb 0.000 0.000 2.086
Cl 5.355 1.265 4.421
Cl 2.045 2.045 10.739
Cl 2.045 2.045 1.898
Cl 1.265 5.355 8.216
Cl 4.575 4.575 10.739
Cl 1.450 5.170 0.000
Cl 1.265 5.355 4.421
Cl 4.760 4.760 6.318
Cl 5.355 1.265 8.216
Cl 5.170 1.450 0.000
Cl 4.575 4.575 1.898
Cl 1.860 1.860 6.318
Ga 0.000 0.000 6.318
Ga 3.310 3.310 0.000
```

Summary:
**SG**: P4_2/mnm
**VASP energy**: -3.39 eV per atom
**Volume**: 30.77 A^3/atom
**Total moment**: 0.00 μB per formula unit
**E_form (uncorrected)**: -9.0 eV/f.u.